Entry 1:
{
  "formula": "Sn2BRh",
  "functional": "PBE",
  "state": "optimized geometry",
  "cell": [[-2.854, 2.854, 5.465], [2.854, -2.854, 5.465], [2.854, 2.854, -5.465]],
  "species": ["Sn", "Sn", "Sn", "Sn", "B", "B", "Rh", "Rh"],
  "fractional_positions": [[0.077, 0.625, 0.952], [0.375, 0.327, 0.452], [0.673, 0.125, 0.048], [0.875, 0.923, 0.548], [0.000, 0.000, 0.000], [0.750, 0.250, 0.500], [0.250, 0.750, 0.500], [0.500, 0.500, 0.000]]
}

=====

Entry 2:
{
  "formula": "Sn4BRh6",
  "functional": "PBE",
  "state": "optimized geometry",
  "cell": [[5.668, 0.000, 0.000], [-2.834, 4.909, 0.000], [0.000, 0.000, 13.880]],
  "species": ["Sn", "Sn", "Sn", "Sn", "Sn", "Sn", "Sn", "Sn", "B", "B", "Rh", "Rh", "Rh", "Rh", "Rh", "Rh", "Rh", "Rh", "Rh", "Rh", "Rh", "Rh"],
  "fractional_positions": [[0.000, 0.000, 0.250], [0.000, 0.000, 0.750], [0.333, 0.667, 0.076], [0.333, 0.667, 0.424], [0.333, 0.667, 0.750], [0.667, 0.333, 0.250], [0.667, 0.333, 0.576], [0.667, 0.333, 0.924], [0.000, 0.000, 0.000], [0.000, 0.000, 0.500], [0.168, 0.336, 0.594], [0.168, 0.336, 0.906], [0.168, 0.832, 0.594], [0.168, 0.832, 0.906], [0.336, 0.168, 0.094], [0.336, 0.168, 0.406], [0.664, 0.832, 0.594], [0.664, 0.832, 0.906], [0.832, 0.168, 0.094], [0.832, 0.168, 0.406], [0.832, 0.664, 0.094], [0.832, 0.664, 0.406]]
}

=====

Entry 3:
{
  "formula": "Sn3BRh",
  "functional": "PBE",
  "state": "optimized geometry",
  "cell": [[5.094, 0.000, 0.000], [0.000, 5.094, 0.000], [0.000, 0.000, 5.094]],
  "species": ["Sn", "Sn", "Sn", "B", "Rh"],
  "fractional_positions": [[0.000, 0.000, 0.500], [0.000, 0.500, 0.000], [0.500, 0.000, 0.000], [0.500, 0.500, 0.500], [0.000, 0.000, 0.000]],
  "polymorph_energy_ev_per_atom": 0.164
}

=====

Entry 4:
{
  "formula": "SnB2Rh5",
  "functional": "PBE",
  "state": "optimized geometry",
  "cell": [[-1.603, 2.789, 5.959], [1.603, -2.789, 5.959], [1.603, 2.789, -5.959]],
  "species": ["Sn", "B", "B", "Rh", "Rh", "Rh", "Rh", "Rh"],
  "fractional_positions": [[0.000, 0.000, 0.000], [0.302, 0.802, 0.500], [0.698, 0.198, 0.500], [0.100, 0.343, 0.758], [0.415, 0.657, 0.758], [0.500, 0.000, 0.500], [0.585, 0.343, 0.242], [0.900, 0.657, 0.242]]
}

=====

Entry 5:
{
  "formula": "SnBRh4",
  "functional": "PBE",
  "state": "optimized geometry",
  "cell": [[4.726, 0.000, 0.000], [0.000, 2.930, 0.000], [-2.124, 0.000, 6.654]],
  "species": ["Sn", "B", "Rh", "Rh", "Rh", "Rh"],
  "fractional_positions": [[0.000, 0.000, 0.000], [0.500, 0.500, 0.500], [0.058, 0.500, 0.323], [0.443, 0.000, 0.708], [0.557, 0.000, 0.292], [0.942, 0.500, 0.677]]
}

=====

Entry 6:
{
  "formula": "Sn2BRh8",
  "functional": "PBE",
  "state": "optimized geometry",
  "cell": [[-2.278, 2.833, 6.312], [2.278, -2.833, 6.312], [2.278, 2.833, -6.312]],
  "species": ["Sn", "Sn", "B", "Rh", "Rh", "Rh", "Rh", "Rh", "Rh", "Rh", "Rh"],
  "fractional_positions": [[0.191, 0.191, 0.000], [0.809, 0.809, 0.000], [0.500, 0.500, 0.000], [0.127, 0.381, 0.745], [0.255, 0.000, 0.255], [0.319, 0.819, 0.500], [0.364, 0.619, 0.745], [0.636, 0.381, 0.255], [0.681, 0.181, 0.500], [0.745, 0.000, 0.745], [0.873, 0.619, 0.255]]
}

=====

Number 1: energy of formation 0.484 eV/atom, calculated volume 178.0 Å³ per cell. Number 2: energy of formation -0.497 eV/atom, calculated volume 386.2 Å³ per cell. Number 3: energy of formation 0.880 eV/atom, calculated volume 132.2 Å³ per cell. Number 4: energy of formation -0.340 eV/atom, calculated volume 106.6 Å³ per cell. Number 5: energy of formation -0.138 eV/atom, calculated volume 92.1 Å³ per cell. Number 6: energy of formation -0.181 eV/atom, calculated volume 162.9 Å³ per cell.